VASP calculation (GGA-PBE) on La7TbNd3 after structural relaxation.

Output
- DOS at the Fermi energy: 17.47 states/eV/f.u.
- Space-group type: C2/m

Geometry as POSCAR:
```
La7TbNd3
1.0
6.518 -5.782 0.000
6.518 5.782 0.000
-2.822 0.000 5.395
La Tb Nd
7 1 3
direct
0.000 0.000 0.000
0.096 0.511 0.303
0.289 0.289 0.790
0.489 0.904 0.697
0.511 0.096 0.303
0.711 0.711 0.210
0.904 0.489 0.697
0.000 0.000 0.500
0.292 0.708 0.000
0.500 0.500 0.500
0.708 0.292 0.000
```


VASP calculation (GGA-PBE) on La7TbNd2 after structural relaxation.

Output
- Relative energy among the computed polymorphs: 429 meV/atom
- DOS at the Fermi energy: 17.56 states/eV/f.u.
- Space-group type: Cmmm

Geometry as POSCAR:
```
La7TbNd2
1.0
4.512 -8.171 0.000
4.512 8.171 0.000
0.000 0.000 5.631
La Tb Nd
7 1 2
direct
0.000 0.000 0.000
0.200 0.427 0.000
0.260 0.740 0.500
0.427 0.200 0.000
0.573 0.800 0.000
0.740 0.260 0.500
0.800 0.573 0.000
0.500 0.500 0.500
0.201 0.799 0.000
0.799 0.201 0.000
```


VASP calculation (GGA-PBE) on La12Tb2Nd5 after structural relaxation.

Output
- Relative energy among the computed polymorphs: 0 meV/atom
- DOS at the Fermi energy: 29.85 states/eV/f.u.
- Space-group type: C2/m

Geometry as POSCAR:
```
La12Tb2Nd5
1.0
9.186 -5.996 0.000
9.186 5.996 0.000
-1.391 0.000 6.215
La Tb Nd
12 2 5
direct
0.047 0.562 0.800
0.054 0.054 0.270
0.142 0.650 0.378
0.350 0.858 0.622
0.383 0.383 0.999
0.438 0.953 0.200
0.562 0.047 0.800
0.617 0.617 0.001
0.650 0.142 0.378
0.858 0.350 0.622
0.946 0.946 0.730
0.953 0.438 0.200
0.267 0.733 0.000
0.733 0.267 0.000
0.179 0.179 0.854
0.286 0.286 0.442
0.500 0.500 0.500
0.714 0.714 0.558
0.821 0.821 0.146
```


Energy of formation from the pure elements, record by record: 0.201 0.554 0.081 eV per atom
Total magnetic moment, record by record: 0.000 0.024 0.000 μB per atom